[1]
Computed, not measured: a relaxed structure of CaFe2Os2 at the PBE level of DFT.

As for the magnetization: 3.73 μB per cell. As for the total energy: -8.01 eV/atom. The density of states at the Fermi level comes out at 4.26 states/eV/f.u. The value obtained for the energy above the lowest structure with this stoichiometry is 0 meV per atom.

Structure (CIF):
```
data_CaFe2Os2
_chemical_formula_sum 'Ca2 Fe4 Os4'
_symmetry_space_group_name_H-M 'I 4/m m m'
_symmetry_Int_Tables_number 139
_symmetry_space_group_name_Hall '-I 4 2'
_cell_length_a 4.082
_cell_length_b 4.082
_cell_length_c 9.720
_cell_angle_alpha 90.00
_cell_angle_beta 90.00
_cell_angle_gamma 90.00
loop_
_atom_site_label
_atom_site_fract_x
_atom_site_fract_y
_atom_site_fract_z
Ca1 0.000 0.000 0.000
Fe1 0.000 0.000 0.383
Os1 0.000 0.500 0.250
```

---

[2]
Computed, not measured: a relaxed structure of CaFeOs2 at the PBE level of DFT.

As for the magnetization: 4.90 μB per cell. As for the total energy: -7.41 eV/atom. The density of states at the Fermi level comes out at 5.52 states/eV/f.u. The value obtained for the energy above the lowest structure with this stoichiometry is 390 meV per atom.

Structure (CIF):
```
data_CaFeOs2
_chemical_formula_sum 'Ca2 Fe2 Os4'
_symmetry_space_group_name_H-M 'I 4/m m m'
_symmetry_Int_Tables_number 139
_symmetry_space_group_name_Hall '-I 4 2'
_cell_length_a 3.884
_cell_length_b 3.884
_cell_length_c 8.560
_cell_angle_alpha 90.00
_cell_angle_beta 90.00
_cell_angle_gamma 90.00
loop_
_atom_site_label
_atom_site_fract_x
_atom_site_fract_y
_atom_site_fract_z
Ca1 0.000 0.000 0.000
Fe1 0.000 0.000 0.500
Os1 0.000 0.500 0.250
```

---

[3]
Computed, not measured: a relaxed structure of Ca2FeOs at the PBE level of DFT.

As for the magnetization: 0.10 μB per cell. As for the total energy: -4.81 eV/atom. The density of states at the Fermi level comes out at 6.72 states/eV/f.u. The value obtained for the energy above the lowest structure with this stoichiometry is 967 meV per atom.

Structure (CIF):
```
data_Ca2FeOs
_chemical_formula_sum 'Ca8 Fe4 Os4'
_symmetry_space_group_name_H-M 'I -4 2 d'
_symmetry_Int_Tables_number 122
_symmetry_space_group_name_Hall 'I -4 2bw'
_cell_length_a 7.868
_cell_length_b 7.868
_cell_length_c 5.149
_cell_angle_alpha 90.00
_cell_angle_beta 90.00
_cell_angle_gamma 90.00
loop_
_atom_site_label
_atom_site_fract_x
_atom_site_fract_y
_atom_site_fract_z
Ca1 0.215 0.750 0.125
Fe1 0.000 0.000 0.000
Os1 0.000 0.000 0.500
```

---

[4]
Computed, not measured: a relaxed structure of CaFeOs2 at the PBE level of DFT.

As for the magnetization: 3.16 μB per cell. As for the total energy: -7.66 eV/atom. The density of states at the Fermi level comes out at 4.10 states/eV/f.u. The value obtained for the energy above the lowest structure with this stoichiometry is 142 meV per atom.

Structure (CIF):
```
data_CaFeOs2
_chemical_formula_sum 'Ca1 Fe1 Os2'
_symmetry_space_group_name_H-M 'P 1 2/m 1'
_symmetry_Int_Tables_number 10
_symmetry_space_group_name_Hall '-P 2y'
_cell_length_a 2.736
_cell_length_b 4.293
_cell_length_c 5.855
_cell_angle_alpha 90.00
_cell_angle_beta 103.24
_cell_angle_gamma 90.00
loop_
_atom_site_label
_atom_site_fract_x
_atom_site_fract_y
_atom_site_fract_z
Ca1 0.000 0.000 0.000
Fe1 0.500 0.000 0.500
Os1 0.327 0.500 0.699
```

---

[5]
Computed, not measured: a relaxed structure of CaFeOs2 at the PBE level of DFT.

As for the magnetization: 10.04 μB per cell. As for the total energy: -7.62 eV/atom. The density of states at the Fermi level comes out at 3.36 states/eV/f.u. The value obtained for the energy above the lowest structure with this stoichiometry is 184 meV per atom.

Structure (CIF):
```
data_CaFeOs2
_chemical_formula_sum 'Ca4 Fe4 Os8'
_symmetry_space_group_name_H-M 'F -4 3 m'
_symmetry_Int_Tables_number 216
_symmetry_space_group_name_Hall 'F -4 2 3'
_cell_length_a 6.313
_cell_length_b 6.313
_cell_length_c 6.313
_cell_angle_alpha 90.00
_cell_angle_beta 90.00
_cell_angle_gamma 90.00
loop_
_atom_site_label
_atom_site_fract_x
_atom_site_fract_y
_atom_site_fract_z
Ca1 0.000 0.000 0.000
Fe1 0.250 0.250 0.250
Os1 0.000 0.000 0.500
Os2 0.250 0.250 0.750
```

---

[6]
Computed, not measured: a relaxed structure of Ca3FeOs at the PBE level of DFT.

As for the magnetization: 2.65 μB per cell. As for the total energy: -4.22 eV/atom. The density of states at the Fermi level comes out at 11.71 states/eV/f.u. The value obtained for the energy above the lowest structure with this stoichiometry is 0 meV per atom.

Structure (CIF):
```
data_Ca3FeOs
_chemical_formula_sum 'Ca3 Fe1 Os1'
_symmetry_space_group_name_H-M 'P m -3 m'
_symmetry_Int_Tables_number 221
_symmetry_space_group_name_Hall '-P 4 2 3'
_cell_length_a 5.435
_cell_length_b 5.435
_cell_length_c 5.435
_cell_angle_alpha 90.00
_cell_angle_beta 90.00
_cell_angle_gamma 90.00
loop_
_atom_site_label
_atom_site_fract_x
_atom_site_fract_y
_atom_site_fract_z
Ca1 0.000 0.000 0.500
Fe1 0.500 0.500 0.500
Os1 0.000 0.000 0.000
```

---

[7]
Computed, not measured: a relaxed structure of CaFeOs2 at the PBE level of DFT.

As for the magnetization: 2.83 μB per cell. As for the total energy: -7.77 eV/atom. The density of states at the Fermi level comes out at 5.10 states/eV/f.u. The value obtained for the energy above the lowest structure with this stoichiometry is 38 meV per atom.

Structure (CIF):
```
data_CaFeOs2
_chemical_formula_sum 'Ca1 Fe1 Os2'
_symmetry_space_group_name_H-M 'P m m 2'
_symmetry_Int_Tables_number 25
_symmetry_space_group_name_Hall 'P 2 -2'
_cell_length_a 2.824
_cell_length_b 3.681
_cell_length_c 6.749
_cell_angle_alpha 90.00
_cell_angle_beta 90.00
_cell_angle_gamma 90.00
loop_
_atom_site_label
_atom_site_fract_x
_atom_site_fract_y
_atom_site_fract_z
Ca1 0.000 0.000 0.000
Fe1 0.500 0.500 0.309
Os1 0.000 0.000 0.504
Os2 0.500 0.500 0.679
```

---

[8]
Computed, not measured: a relaxed structure of CaFeOs2 at the PBE level of DFT.

As for the magnetization: 2.89 μB per cell. As for the total energy: -7.41 eV/atom. The density of states at the Fermi level comes out at 3.51 states/eV/f.u. The value obtained for the energy above the lowest structure with this stoichiometry is 394 meV per atom.

Structure (CIF):
```
data_CaFeOs2
_chemical_formula_sum 'Ca1 Fe1 Os2'
_symmetry_space_group_name_H-M 'P 4/m m m'
_symmetry_Int_Tables_number 123
_symmetry_space_group_name_Hall '-P 4 2'
_cell_length_a 4.419
_cell_length_b 4.419
_cell_length_c 3.222
_cell_angle_alpha 90.00
_cell_angle_beta 90.00
_cell_angle_gamma 90.00
loop_
_atom_site_label
_atom_site_fract_x
_atom_site_fract_y
_atom_site_fract_z
Ca1 0.000 0.000 0.000
Fe1 0.500 0.500 0.000
Os1 0.000 0.500 0.500
```

---

[9]
Computed, not measured: a relaxed structure of CaFe2Os2 at the PBE level of DFT.

As for the magnetization: 0.00 μB per cell. As for the total energy: -7.98 eV/atom. The density of states at the Fermi level comes out at 5.39 states/eV/f.u. The value obtained for the energy above the lowest structure with this stoichiometry is 36 meV per atom.

Structure (CIF):
```
data_CaFe2Os2
_chemical_formula_sum 'Ca2 Fe4 Os4'
_symmetry_space_group_name_H-M 'P 4/m b m'
_symmetry_Int_Tables_number 127
_symmetry_space_group_name_Hall '-P 4 2ab'
_cell_length_a 7.432
_cell_length_b 7.432
_cell_length_c 2.644
_cell_angle_alpha 90.00
_cell_angle_beta 90.00
_cell_angle_gamma 90.00
loop_
_atom_site_label
_atom_site_fract_x
_atom_site_fract_y
_atom_site_fract_z
Ca1 0.000 0.000 0.000
Fe1 0.117 0.383 0.000
Os1 0.172 0.672 0.500
```

---

[10]
Computed, not measured: a relaxed structure of Ca2FeOs at the PBE level of DFT.

As for the magnetization: 7.13 μB per cell. As for the total energy: -5.31 eV/atom. The density of states at the Fermi level comes out at 3.83 states/eV/f.u. The value obtained for the energy above the lowest structure with this stoichiometry is 460 meV per atom.

Structure (CIF):
```
data_Ca2FeOs
_chemical_formula_sum 'Ca4 Fe2 Os2'
_symmetry_space_group_name_H-M 'I -4 m 2'
_symmetry_Int_Tables_number 119
_symmetry_space_group_name_Hall 'I -4 -2'
_cell_length_a 4.796
_cell_length_b 4.796
_cell_length_c 6.810
_cell_angle_alpha 90.00
_cell_angle_beta 90.00
_cell_angle_gamma 90.00
loop_
_atom_site_label
_atom_site_fract_x
_atom_site_fract_y
_atom_site_fract_z
Ca1 0.000 0.000 0.000
Ca2 0.000 0.500 0.250
Fe1 0.000 0.500 0.750
Os1 0.000 0.000 0.500
```

---

| no. | ΔH_f (0 K) (eV per atom) |
| --- | --- |
| 1 | 0.266 |
| 2 | 0.816 |
| 3 | 1.119 |
| 4 | 0.568 |
| 5 | 0.610 |
| 6 | 0.920 |
| 7 | 0.464 |
| 8 | 0.819 |
| 9 | 0.302 |
| 10 | 0.611 |